(1)
# GGA-PBE Pa2NbZn, optimized geometry
# distance to the lowest polymorph of the same formula	11.3	kJ per mole of atoms
# ρ	11646	kg/m³
# total magnetic moment	0.00	Bohr magnetons per cell
# ΔE_f	198	meV/atom
data_Pa2NbZn
_symmetry_space_group_name_H-M 'F m -3 m'
_symmetry_Int_Tables_number 225
_symmetry_space_group_name_Hall '-F 4 2 3'
_cell_length_a 7.0729
_cell_length_b 7.0729
_cell_length_c 7.0729
_cell_angle_alpha 90.00
_cell_angle_beta 90.00
_cell_angle_gamma 90.00
loop_
_atom_site_label
_atom_site_type_symbol
_atom_site_fract_x
_atom_site_fract_y
_atom_site_fract_z
Pa1 Pa 0.2500 0.2500 0.2500
Nb1 Nb 0.0000 0.0000 0.0000
Zn1 Zn 0.0000 0.0000 0.5000

***

(2)
# GGA-PBE Ba3Tl6In2Sn, optimized geometry
# ρ	7828	kg/m³
# total magnetic moment	0.00	Bohr magnetons per cell
# ΔE_f	-202	meV/atom
data_Ba3Tl6In2Sn
_symmetry_space_group_name_H-M 'P -3 m 1'
_symmetry_Int_Tables_number 164
_symmetry_space_group_name_Hall '-P 3 2"'
_cell_length_a 6.5182
_cell_length_b 6.5182
_cell_length_c 11.4530
_cell_angle_alpha 90.00
_cell_angle_beta 90.00
_cell_angle_gamma 120.00
loop_
_atom_site_label
_atom_site_type_symbol
_atom_site_fract_x
_atom_site_fract_y
_atom_site_fract_z
Ba1 Ba 0.0000 0.0000 0.0000
Ba2 Ba 0.3333 0.6667 0.5762
Tl1 Tl 0.1698 0.3395 0.2601
In1 In 0.3333 0.6667 0.9143
Sn1 Sn 0.0000 0.0000 0.5000

***

(3)
# GGA-PBE Li9Ac3Cd2, optimized geometry
# ρ	4493	kg/m³
# total magnetic moment	0.00	Bohr magnetons per cell
# ΔE_f	-33	meV/atom
data_Li9Ac3Cd2
_symmetry_space_group_name_H-M 'I m m m'
_symmetry_Int_Tables_number 71
_symmetry_space_group_name_Hall '-I 2 2'
_cell_length_a 4.9810
_cell_length_b 10.3328
_cell_length_c 13.9062
_cell_angle_alpha 90.00
_cell_angle_beta 90.00
_cell_angle_gamma 90.00
loop_
_atom_site_label
_atom_site_type_symbol
_atom_site_fract_x
_atom_site_fract_y
_atom_site_fract_z
Li1 Li 0.0000 0.0000 0.0000
Li2 Li 0.0000 0.1503 0.3260
Li3 Li 0.0000 0.2182 0.1191
Ac1 Ac 0.0000 0.5000 0.0000
Ac2 Ac 0.0000 0.5000 0.3050
Cd1 Cd 0.0000 0.2882 0.5000

***

Which value of ρ does entry 1 give? 11646 kg/m³